(1)
# TaFe2W2

A relaxed structure of TaFe2W2 (GGA-PBE, the Alexandria database).

Cell lengths 7.273, 7.273, 2.768 Å; angles 90.00, 90.00, 90.00 degrees
Fractional coordinates of all 10 atoms:
Ta 0.000 0.000 0.000
Ta 0.500 0.500 0.000
Fe 0.141 0.359 0.500
Fe 0.359 0.859 0.500
Fe 0.641 0.141 0.500
Fe 0.859 0.641 0.500
W 0.153 0.653 0.000
W 0.347 0.153 0.000
W 0.653 0.847 0.000
W 0.847 0.347 0.000

Computed properties:
- Energy relative to the elements: 299 meV/atom
- Total magnetization: 0.00 μB/f.u.
- SG: No. 127
- Energy relative to the lowest polymorph listed for this composition: 148 meV/atom
- Calculated total energy: -10.638 eV per atom

***

(2)
# YNiAsBr2

A relaxed structure of YNiAsBr2 (GGA-PBE, the Alexandria database).

Cell lengths 5.427, 5.427, 5.794 Å; angles 90.00, 90.00, 90.00 degrees
Fractional coordinates of all 5 atoms:
Y 0.000 0.000 0.000
Ni 0.500 0.500 0.500
As 0.000 0.000 0.500
Br 0.000 0.500 0.000
Br 0.500 0.000 0.000

Computed properties:
- Formation energy (no corrections): 0.02 eV/atom
- Total magnetization: 1.93 μB/f.u.
- SG: No. 123
- Energy relative to the lowest polymorph listed for this composition: 399 meV/atom
- Calculated total energy: -4.024 eV per atom

***

(3)
# NbRuOF2

A relaxed structure of NbRuOF2 (GGA-PBE, the Alexandria database).

Cell lengths 4.392, 4.392, 3.747 Å; angles 90.00, 90.00, 90.00 degrees
Fractional coordinates of all 5 atoms:
Nb 0.000 0.000 0.000
Ru 0.500 0.500 0.500
O 0.500 0.500 0.000
F 0.000 0.500 0.500
F 0.500 0.000 0.500

Computed properties:
- Formation energy (no corrections): -0.32 eV/atom
- Total magnetization: 2.56 μB/f.u.
- SG: No. 123
- Energy relative to the lowest polymorph listed for this composition: 618 meV/atom
- Calculated total energy: -5.927 eV per atom

***

(4)
# CsLiPtO2

A relaxed structure of CsLiPtO2 (GGA-PBE, the Alexandria database).

Cell lengths 7.298, 7.298, 4.767 Å; angles 90.00, 90.00, 135.63 degrees
Fractional coordinates of all 10 atoms:
Cs 0.250 0.750 0.757
Cs 0.750 0.250 0.243
Li 0.000 0.000 0.000
Li 0.500 0.500 0.000
Pt 0.250 0.250 0.500
Pt 0.750 0.750 0.500
O 0.105 0.895 0.287
O 0.395 0.605 0.287
O 0.605 0.395 0.713
O 0.895 0.105 0.713

Computed properties:
- Formation energy (no corrections): -0.65 eV/atom
- Total magnetization: 1.92 μB/f.u.
- SG: No. 67
- Calculated total energy: -4.397 eV per atom

***

(5)
# InRhN2F

A relaxed structure of InRhN2F (GGA-PBE, the Alexandria database).

Cell lengths 3.825, 3.825, 4.976 Å; angles 90.00, 90.00, 90.00 degrees
Fractional coordinates of all 5 atoms:
In 0.000 0.000 0.000
Rh 0.500 0.500 0.500
N 0.000 0.500 0.500
N 0.500 0.000 0.500
F 0.500 0.500 0.000

Computed properties:
- Formation energy (no corrections): 0.40 eV/atom
- Total magnetization: 0.22 μB/f.u.
- SG: No. 123
- Energy relative to the lowest polymorph listed for this composition: 0 meV/atom
- Calculated total energy: -5.319 eV per atom

***

(6)
# La2GePbO6

A relaxed structure of La2GePbO6 (GGA-PBE, the Alexandria database).

Cell lengths 5.567, 5.567, 5.383 Å; angles 90.00, 90.00, 90.00 degrees
Fractional coordinates of all 10 atoms:
La 0.000 0.500 0.000
La 0.500 0.000 0.000
Ge 0.000 0.000 0.619
Pb 0.500 0.500 0.545
O 0.000 0.000 0.286
O 0.224 0.224 0.747
O 0.224 0.776 0.747
O 0.500 0.500 0.098
O 0.776 0.224 0.747
O 0.776 0.776 0.747

Computed properties:
- Formation energy (no corrections): -2.29 eV/atom
- Total magnetization: 0.00 μB/f.u.
- SG: No. 99
- Calculated total energy: -7.087 eV per atom

***

(7)
# Cu2Ag

A relaxed structure of Cu2Ag (GGA-PBE, the Alexandria database).

Cell lengths 4.832, 4.832, 4.832 Å; angles 146.38, 137.22, 55.48 degrees
Fractional coordinates of all 3 atoms:
Cu 0.180 0.180 0.000
Cu 0.820 0.820 0.000
Ag 0.500 0.500 0.000

Computed properties:
- Energy relative to the elements: 103 meV/atom
- Total magnetization: 0.00 μB/f.u.
- SG: No. 71
- Energy relative to the lowest polymorph listed for this composition: 42 meV/atom
- Calculated total energy: -3.578 eV per atom

***

(8)
# TaAgHS2

A relaxed structure of TaAgHS2 (GGA-PBE, the Alexandria database).

Cell lengths 4.669, 4.669, 5.219 Å; angles 90.00, 90.00, 90.00 degrees
Fractional coordinates of all 5 atoms:
Ta 0.000 0.000 0.000
Ag 0.000 0.000 0.500
H 0.500 0.500 0.000
S 0.000 0.500 0.500
S 0.500 0.000 0.500

Computed properties:
- Total magnetization: 0.23 μB/f.u.
- SG: No. 123
- Calculated total energy: -3.387 eV per atom

***

(9)
# TiCoCl2

A relaxed structure of TiCoCl2 (GGA-PBE, the Alexandria database).

Cell lengths 7.967, 7.967, 7.967 Å; angles 22.48, 22.48, 22.48 degrees
Fractional coordinates of all 4 atoms:
Ti 0.000 0.000 0.000
Co 0.500 0.500 0.500
Cl 0.406 0.406 0.406
Cl 0.594 0.594 0.594

Computed properties:
- Formation energy (no corrections): -0.39 eV/atom
- Total magnetization: 1.37 μB/f.u.
- SG: No. 166
- Energy relative to the lowest polymorph listed for this composition: 0 meV/atom
- Calculated total energy: -5.062 eV per atom

***

(10)
# RbDyCdSe3

A relaxed structure of RbDyCdSe3 (GGA-PBE, the Alexandria database).

Cell lengths 9.237, 4.284, 10.405 Å; angles 90.00, 109.07, 90.00 degrees
Fractional coordinates of all 12 atoms:
Rb 0.217 0.250 0.237
Rb 0.783 0.750 0.763
Dy 0.330 0.750 0.866
Dy 0.670 0.250 0.134
Cd 0.084 0.250 0.612
Cd 0.916 0.750 0.388
Se 0.116 0.250 0.871
Se 0.226 0.750 0.548
Se 0.468 0.750 0.151
Se 0.532 0.250 0.849
Se 0.774 0.250 0.452
Se 0.884 0.750 0.129

Computed properties:
- Formation energy (no corrections): -1.34 eV/atom
- Total magnetization: 0.00 μB/f.u.
- SG: No. 11
- Calculated total energy: -4.162 eV per atom

***

(11)
# CeDy2H

A relaxed structure of CeDy2H (GGA-PBE, the Alexandria database).

Cell lengths 9.549, 9.549, 9.549 Å; angles 20.51, 20.51, 20.51 degrees
Fractional coordinates of all 4 atoms:
Ce 0.000 0.000 0.000
Dy 0.118 0.118 0.118
Dy 0.882 0.882 0.882
H 0.500 0.500 0.500

Computed properties:
- Total magnetization: 0.81 μB/f.u.
- SG: No. 166
- Energy relative to the lowest polymorph listed for this composition: 0 meV/atom
- Calculated total energy: -4.634 eV per atom

***

(12)
# Pm5Ga4

A relaxed structure of Pm5Ga4 (GGA-PBE, the Alexandria database).

Cell lengths 6.046, 6.046, 10.330 Å; angles 111.83, 111.83, 44.26 degrees
Fractional coordinates of all 9 atoms:
Pm 0.000 0.000 0.000
Pm 0.106 0.106 0.395
Pm 0.242 0.242 0.827
Pm 0.758 0.758 0.173
Pm 0.894 0.894 0.605
Ga 0.387 0.387 0.388
Ga 0.453 0.453 0.170
Ga 0.547 0.547 0.830
Ga 0.613 0.613 0.612

Computed properties:
- Energy relative to the elements: -537 meV/atom
- Total magnetization: 0.00 μB/f.u.
- SG: No. 12
- Calculated total energy: -4.521 eV per atom